## LiCoPO4 (PBE with a Hubbard U)

Data for an optimized crystal structure of LiCoPO4.

- Symmetry: P2_1/c
- Mass density: 3.03 g/cm3
- N(E_F): 0.00 states/eV/cell
- DFT total energy: -6.604 eV/atom
- Offset from the most stable computed form: 42.3 meV/atom

a = 8.0022 Å, b = 8.7837 Å, c = 17.3651 Å
α = 60.01°, β = 90.00°, γ = 90.00°
Last column: magnetic moment on the atom in μB.
Element x y z (fractional)
Li (0.0350, 0.7038, 0.0569)  0.00
Li (0.9449, 0.3801, 0.4083)  0.00
Li (0.2112, 0.9907, 0.7474)  0.00
Li (0.7112, 0.0093, 0.7526)  0.00
Li (0.4449, 0.6199, 0.0917)  0.00
Li (0.5350, 0.2962, 0.4431)  0.00
Li (0.4650, 0.7038, 0.5569)  0.00
Li (0.5551, 0.3801, 0.9083)  0.00
Li (0.2888, 0.9907, 0.2474)  0.00
Li (0.7888, 0.0093, 0.2526)  0.00
Li (0.0551, 0.6199, 0.5917)  0.00
Li (0.9650, 0.2962, 0.9431)  0.00
Co (0.7309, 0.3735, 0.5965)  2.71
Co (0.7808, 0.6906, 0.2283)  2.72
Co (0.7227, 0.9612, 0.9343)  2.71
Co (0.2227, 0.0388, 0.5657)  2.71
Co (0.2808, 0.3094, 0.2717)  2.72
Co (0.2309, 0.6265, 0.9035)  2.71
Co (0.7691, 0.3735, 0.0965)  2.71
Co (0.7192, 0.6906, 0.7283)  2.72
Co (0.7773, 0.9612, 0.4343)  2.71
Co (0.2773, 0.0388, 0.0657)  2.71
Co (0.2192, 0.3094, 0.7717)  2.72
Co (0.2691, 0.6265, 0.4035)  2.71
P (0.3295, 0.3515, 0.5900)  0.01
P (0.1650, 0.6772, 0.2214)  0.01
P (0.3329, 0.9485, 0.9263)  0.01
P (0.8329, 0.0515, 0.5737)  0.01
P (0.6650, 0.3228, 0.2786)  0.01
P (0.8295, 0.6485, 0.9100)  0.01
P (0.1705, 0.3515, 0.0900)  0.01
P (0.3350, 0.6772, 0.7214)  0.01
P (0.1671, 0.9485, 0.4263)  0.01
P (0.6671, 0.0515, 0.0737)  0.01
P (0.8350, 0.3228, 0.7786)  0.01
P (0.6705, 0.6485, 0.4100)  0.01
O (0.5063, 0.5716, 0.3958)  0.04
O (0.1326, 0.5732, 0.3241)  0.04
O (0.2114, 0.9057, 0.0052)  0.04
O (0.6355, 0.8517, 0.1306)  0.04
O (0.7897, 0.4913, 0.4680)  0.04
O (0.9972, 0.7162, 0.1699)  0.05
O (0.2430, 0.2314, 0.6811)  0.04
O (0.7465, 0.1457, 0.8048)  0.04
O (0.4999, 0.8495, 0.9671)  0.04
O (0.3657, 0.2424, 0.5433)  0.04
O (0.7758, 0.4316, 0.3068)  0.04
O (0.7533, 0.1213, 0.6320)  0.04
O (0.2758, 0.5684, 0.1932)  0.04
O (0.2533, 0.8787, 0.8680)  0.04
O (0.8657, 0.7576, 0.9567)  0.04
O (0.9999, 0.1505, 0.5329)  0.04
O (0.2465, 0.8543, 0.6952)  0.04
O (0.4972, 0.2838, 0.3301)  0.05
O (0.7430, 0.7686, 0.8189)  0.04
O (0.2897, 0.5087, 0.0320)  0.04
O (0.1355, 0.1483, 0.3694)  0.04
O (0.7114, 0.0943, 0.4948)  0.04
O (0.6326, 0.4268, 0.1759)  0.04
O (0.0063, 0.4284, 0.1042)  0.04
O (0.9937, 0.5716, 0.8958)  0.04
O (0.3674, 0.5732, 0.8241)  0.04
O (0.2886, 0.9057, 0.5052)  0.04
O (0.8645, 0.8517, 0.6306)  0.04
O (0.7103, 0.4913, 0.9680)  0.04
O (0.2570, 0.2314, 0.1811)  0.04
O (0.5028, 0.7162, 0.6699)  0.05
O (0.7535, 0.1457, 0.3048)  0.04
O (0.0001, 0.8495, 0.4671)  0.04
O (0.1343, 0.2424, 0.0433)  0.04
O (0.7467, 0.1213, 0.1320)  0.04
O (0.7242, 0.4316, 0.8068)  0.04
O (0.2467, 0.8787, 0.3680)  0.04
O (0.2242, 0.5684, 0.6932)  0.04
O (0.6343, 0.7576, 0.4567)  0.04
O (0.5001, 0.1505, 0.0329)  0.04
O (0.2535, 0.8543, 0.1952)  0.04
O (0.7570, 0.7686, 0.3189)  0.04
O (0.0028, 0.2838, 0.8301)  0.05
O (0.2103, 0.5087, 0.5320)  0.04
O (0.3645, 0.1483, 0.8694)  0.04
O (0.7886, 0.0943, 0.9948)  0.04
O (0.8674, 0.4268, 0.6759)  0.04
O (0.4937, 0.4284, 0.6042)  0.04